(1)
Computed, not measured: a relaxed NdY7Er3 crystal at the GGA-PBE level of DFT. Values from VASP.

The structure in Quantum ESPRESSO input format:
```
&SYSTEM
  ibrav = 0, nat = 11, ntyp = 3
/
ATOMIC_SPECIES
Er 167.26 Er.upf
Y 88.91 Y.upf
Nd 144.24 Nd.upf
ATOMIC_POSITIONS angstrom
Er 2.3592 -5.9133 7.6999
Er -2.5491 -1.6160 -0.9955
Er 2.7938 -3.8563 1.4481
Y -0.2872 -4.3636 -0.1485
Y 0.0974 -3.1659 6.8530
Y 0.6611 -7.0470 1.5423
Y -0.7025 -6.2460 5.9349
Y -0.8509 -0.4824 5.1622
Y 2.6988 -7.6209 4.8003
Y 0.5126 -1.2834 0.7695
Nd -0.0949 -3.7647 3.3523
CELL_PARAMETERS angstrom
-2.5569 -3.2486 -3.7203
5.5875 -7.7126 2.8963
-3.2205 3.4318 7.5285
```

Summary:
The value obtained for the calculated total energy is -62.122 eV for the cell shown. Its energy of formation from the pure elements is 0.144 eV/atom. The space group is P2/m, No. 10. Its volume is 361.9 Å³/f.u. As for the density of states at the Fermi level: 18.79 states/eV/f.u.


(2)
Computed, not measured: a relaxed CaTb4Dy crystal at the GGA-PBE level of DFT. Values from VASP.

The structure in Quantum ESPRESSO input format:
```
&SYSTEM
  ibrav = 0, nat = 6, ntyp = 3
/
ATOMIC_SPECIES
Tb 158.93 Tb.upf
Ca 40.08 Ca.upf
Dy 162.50 Dy.upf
ATOMIC_POSITIONS angstrom
Tb 6.6544 3.8419 0.6535
Tb 6.6544 1.8967 3.4044
Tb 8.3390 4.8145 3.4044
Tb 4.9698 4.8145 3.4044
Ca 3.3272 1.9210 1.3583
Dy 0.0000 0.0000 0.0000
CELL_PARAMETERS angstrom
6.6544 0.0000 0.0000
3.3272 5.7629 0.0000
3.3272 1.9210 5.4333
```

Summary:
The value obtained for the calculated total energy is -23.826 eV for the cell shown. Its energy of formation from the pure elements is 0.216 eV/atom. The space group is F-43m, No. 216. Its volume is 208.4 Å³/f.u. As for the density of states at the Fermi level: 8.14 states/eV/f.u.


(3)
Computed, not measured: a relaxed NaCd2HgIr crystal at the GGA-PBE level of DFT. Values from VASP.

The structure in Quantum ESPRESSO input format:
```
&SYSTEM
  ibrav = 0, nat = 5, ntyp = 4
/
ATOMIC_SPECIES
Hg 200.59 Hg.upf
Na 22.99 Na.upf
Cd 112.41 Cd.upf
Ir 192.22 Ir.upf
ATOMIC_POSITIONS angstrom
Hg 0.0873 -0.3082 2.6248
Na 1.1940 -3.8034 2.1775
Cd 2.3141 -1.1909 -0.2168
Cd -1.2074 -2.3042 -0.2304
Ir 0.0000 0.0000 0.0000
CELL_PARAMETERS angstrom
-2.4149 -4.6085 -0.4608
4.6283 -2.3818 -0.4337
0.1747 -0.6165 5.2496
```

Summary:
The value obtained for the calculated total energy is -11.854 eV for the cell shown. Its energy of formation from the pure elements is 0.092 eV/atom. The space group is P4/mmm, No. 123. Its volume is 144.3 Å³/f.u. As for the density of states at the Fermi level: 2.27 states/eV/f.u.


(4)
Computed, not measured: a relaxed Er2AsC crystal at the GGA-PBE level of DFT. Values from VASP.

The structure in Quantum ESPRESSO input format:
```
&SYSTEM
  ibrav = 0, nat = 4, ntyp = 3
/
ATOMIC_SPECIES
As 74.92 As.upf
Er 167.26 Er.upf
C 12.01 C.upf
ATOMIC_POSITIONS angstrom
As 4.3427 2.5073 3.6136
Er 2.1714 1.2536 5.0590
Er 6.5141 3.7609 2.1683
C 0.0000 0.0000 0.0000
CELL_PARAMETERS angstrom
4.3427 0.0000 0.0000
2.1714 3.7609 0.0000
2.1714 1.2536 7.2273
```

Summary:
The value obtained for the calculated total energy is -21.932 eV for the cell shown. Its energy of formation from the pure elements is 0.267 eV/atom. The space group is R-3m, No. 166. Its volume is 118.0 Å³/f.u. As for the density of states at the Fermi level: 1.78 states/eV/f.u.


(5)
Computed, not measured: a relaxed Ca8ZnPb2 crystal at the GGA-PBE level of DFT. Values from VASP.

The structure in Quantum ESPRESSO input format:
```
&SYSTEM
  ibrav = 0, nat = 11, ntyp = 3
/
ATOMIC_SPECIES
Ca 40.08 Ca.upf
Pb 207.20 Pb.upf
Zn 65.41 Zn.upf
ATOMIC_POSITIONS angstrom
Ca -1.5816 -3.5838 -6.5678
Ca 1.8764 -1.4901 -1.6189
Ca -0.4018 -0.8324 -4.2692
Ca 2.1145 -2.8305 -6.4401
Ca -5.0013 -3.2028 -5.7167
Ca -5.2394 -1.8624 -0.8955
Ca -1.5433 -1.1091 -0.7678
Ca -2.7231 -3.8605 -3.0664
Pb 0.6204 -3.9689 -3.6610
Pb -3.7453 -0.7240 -3.6746
Zn -0.2909 1.7587 -1.9559
CELL_PARAMETERS angstrom
-0.5817 3.5174 -3.9117
5.8364 -4.6347 -5.0354
-8.3796 -3.5756 1.6115
```

Summary:
The value obtained for the calculated total energy is -27.323 eV for the cell shown. Its energy of formation from the pure elements is -0.238 eV/atom. The space group is Immm, No. 71. Its volume is 363.7 Å³/f.u. As for the density of states at the Fermi level: 9.09 states/eV/f.u.


(6)
Computed, not measured: a relaxed KBC crystal at the GGA-PBE level of DFT. Values from VASP.

The structure in Quantum ESPRESSO input format:
```
&SYSTEM
  ibrav = 0, nat = 12, ntyp = 3
/
ATOMIC_SPECIES
K 39.10 K.upf
B 10.81 B.upf
C 12.01 C.upf
ATOMIC_POSITIONS angstrom
K -6.2013 -3.6375 4.4986
K -1.1429 -1.7474 4.3625
K -3.3505 -3.3660 7.0262
K -3.9936 -2.0188 1.8349
B -6.4767 -4.7489 7.8146
B -0.8674 -0.6360 1.0465
B -7.2937 -3.0373 1.2194
B -0.0504 -2.3476 7.6418
C 0.2452 -0.5138 1.9797
C -1.9290 -0.7208 0.0519
C 0.8244 -1.7272 6.6551
C -6.4847 -2.4231 0.1744
CELL_PARAMETERS angstrom
-8.4137 -3.1439 0.2263
1.0696 -2.2409 8.6348
-4.6329 -0.0633 5.2319
```

Summary:
The value obtained for the calculated total energy is -65.321 eV for the cell shown. Its energy of formation from the pure elements is 0.223 eV/atom. The space group is I4/mmm, No. 139. Its volume is 58.8 Å³/f.u. As for the density of states at the Fermi level: 0.00 states/eV/f.u.


(7)
Computed, not measured: a relaxed Na2PbSe2 crystal at the GGA-PBE level of DFT. Values from VASP.

The structure in Quantum ESPRESSO input format:
```
&SYSTEM
  ibrav = 0, nat = 10, ntyp = 3
/
ATOMIC_SPECIES
Na 22.99 Na.upf
Se 78.96 Se.upf
Pb 207.20 Pb.upf
ATOMIC_POSITIONS angstrom
Na 2.1061 0.0939 6.5467
Na 2.1061 4.9880 10.1505
Na 0.0000 3.2522 3.7860
Na 0.0000 1.8296 0.1822
Se 0.0000 0.0347 4.2059
Se 2.1061 3.4996 1.4997
Se 2.1061 3.1931 6.1268
Se 0.0000 0.3412 8.8329
Pb 0.0000 3.1684 7.9819
Pb 2.1061 0.0100 2.3508
CELL_PARAMETERS angstrom
4.2121 0.0000 0.0000
0.0000 6.3168 0.0000
-2.1061 0.0000 10.3327
```

Summary:
The value obtained for the calculated total energy is -34.402 eV for the cell shown. The value obtained for the formation energy (no corrections) is -0.7771 eV per atom. The space group is Cmc2_1, No. 36. Its volume is 137.5 Å³/f.u.


(8)
Computed, not measured: a relaxed RbYHf crystal at the GGA-PBE level of DFT. Values from VASP.

The structure in Quantum ESPRESSO input format:
```
&SYSTEM
  ibrav = 0, nat = 6, ntyp = 3
/
ATOMIC_SPECIES
Hf 178.49 Hf.upf
Y 88.91 Y.upf
Rb 85.47 Rb.upf
ATOMIC_POSITIONS angstrom
Hf 0.3426 -2.0065 1.7720
Hf 0.7737 -4.0761 -0.1210
Y 7.1481 1.4395 9.8662
Y -6.0318 -7.5220 -8.2152
Rb 2.6699 -0.8280 4.5400
Rb -1.5537 -5.2545 -2.8890
CELL_PARAMETERS angstrom
7.2537 2.6369 11.1946
-9.1473 -5.6677 -8.3122
3.0099 -3.0518 -1.2315
```

Summary:
The value obtained for the calculated total energy is -32.598 eV for the cell shown. Its energy of formation from the pure elements is 0.362 eV/atom. The space group is Cmcm, No. 63. Its volume is 137.2 Å³/f.u. As for the density of states at the Fermi level: 1.57 states/eV/f.u.


(9)
Computed, not measured: a relaxed PrHo2ScIn4 crystal at the GGA-PBE level of DFT. Values from VASP.

The structure in Quantum ESPRESSO input format:
```
&SYSTEM
  ibrav = 0, nat = 8, ntyp = 4
/
ATOMIC_SPECIES
Sc 44.96 Sc.upf
Ho 164.93 Ho.upf
In 114.82 In.upf
Pr 140.91 Pr.upf
ATOMIC_POSITIONS angstrom
Sc 5.2850 3.0513 4.3502
Ho 2.6425 1.5256 2.2087
Ho 7.9275 4.5769 6.4916
In 7.9275 4.5769 3.3445
In 5.2850 3.0513 1.1865
In 2.6425 1.5256 5.3558
In 5.2850 3.0513 7.5138
Pr 0.0000 0.0000 0.0000
CELL_PARAMETERS angstrom
5.2850 0.0000 0.0000
2.6425 4.5769 0.0000
2.6425 1.5256 8.7003
```

Summary:
The value obtained for the calculated total energy is -34.676 eV for the cell shown. Its energy of formation from the pure elements is -0.432 eV/atom. The space group is R-3m, No. 166. Its volume is 210.5 Å³/f.u. As for the density of states at the Fermi level: 4.41 states/eV/f.u.


(10)
Computed, not measured: a relaxed Ba2ZrCo crystal at the GGA-PBE level of DFT. Values from VASP.

The structure in Quantum ESPRESSO input format:
```
&SYSTEM
  ibrav = 0, nat = 4, ntyp = 3
/
ATOMIC_SPECIES
Co 58.93 Co.upf
Ba 137.33 Ba.upf
Zr 91.22 Zr.upf
ATOMIC_POSITIONS angstrom
Co -2.7713 -1.5762 -1.6768
Ba 0.0000 0.0000 0.0000
Ba -2.4241 -0.1965 -4.9862
Zr -2.5694 1.6599 -1.9025
CELL_PARAMETERS angstrom
-2.2222 3.0396 -5.2118
-2.6260 -3.4326 -4.7605
-0.4924 0.4766 6.3931
```

Summary:
The value obtained for the calculated total energy is -15.689 eV for the cell shown. Its energy of formation from the pure elements is 0.953 eV/atom. The space group is I4/mmm, No. 139. Its volume is 117.2 Å³/f.u. As for the density of states at the Fermi level: 5.55 states/eV/f.u.